[1]
DFT (PBE) results for a relaxed structure of MnCr2Mo.

Structure (POSCAR):
```
MnCr2Mo
1.0
3.000 0.000 0.000
0.000 4.177 0.000
0.000 0.000 8.125
Mn Cr Mo
2 4 2
direct
0.000 0.000 0.000
0.500 0.500 0.000
0.000 0.500 0.234
0.000 0.500 0.766
0.500 0.000 0.234
0.500 0.000 0.766
0.000 0.000 0.500
0.500 0.500 0.500
```

Summary:
- N(E_F): 4.21 states/eV/f.u.
- Volume: 102 Å³/cell
- Symmetry: Cmmm (65)
- Energy above the most stable polymorph in this dataset: 26 meV per atom
- Energy relative to the elements: 0.11 eV per atom



[2]
DFT (PBE) results for a relaxed structure of CaTl2Ag.

Structure (POSCAR):
```
CaTl2Ag
1.0
3.870 0.000 0.000
0.000 4.478 0.000
-1.841 0.000 6.429
Ca Tl Ag
1 2 1
direct
0.000 0.000 0.000
0.263 0.000 0.533
0.651 0.500 0.302
0.418 0.500 0.825
```

Summary:
- N(E_F): 2.14 states/eV/f.u.
- Volume: 111 Å³/cell
- Symmetry: Pm (6)
- Energy relative to the elements: -0.15 eV per atom



[3]
DFT (PBE) results for a relaxed structure of YS2Br.

Structure (POSCAR):
```
YS2Br
1.0
4.560 0.000 0.000
0.000 4.560 0.000
0.000 0.000 19.651
Y S Br
4 8 4
direct
0.000 0.000 0.000
0.000 0.500 0.250
0.500 0.000 0.750
0.500 0.500 0.500
0.064 0.250 0.125
0.250 0.564 0.375
0.250 0.936 0.875
0.436 0.250 0.625
0.564 0.750 0.625
0.750 0.064 0.875
0.750 0.436 0.375
0.936 0.750 0.125
0.000 0.000 0.500
0.000 0.500 0.750
0.500 0.000 0.250
0.500 0.500 0.000
```

Summary:
- N(E_F): 0.51 states/eV/f.u.
- Volume: 409 Å³/cell
- Symmetry: I-42d (122)
- Energy above the most stable polymorph in this dataset: 143 meV per atom
- Formation energy (no corrections): -1.06 eV per atom



[4]
DFT (PBE) results for a relaxed structure of NaSbPb.

Structure (POSCAR):
```
NaSbPb
1.0
4.338 0.000 0.000
0.000 4.584 0.000
0.000 0.000 5.140
Na Sb Pb
1 1 1
direct
0.000 0.000 0.000
0.500 0.000 0.500
0.000 0.500 0.500
```

Summary:
- N(E_F): 1.86 states/eV/f.u.
- Volume: 102 Å³/cell
- Symmetry: Pmmm (47)
- Formation energy (no corrections): -0.05 eV per atom



[5]
DFT (PBE) results for a relaxed structure of KScW2.

Structure (POSCAR):
```
KScW2
1.0
6.806 0.000 0.000
0.000 6.806 0.000
0.000 0.000 6.806
K Sc W
4 4 8
direct
0.000 0.000 0.000
0.000 0.500 0.500
0.500 0.000 0.500
0.500 0.500 0.000
0.250 0.250 0.750
0.250 0.750 0.250
0.750 0.250 0.250
0.750 0.750 0.750
0.000 0.000 0.500
0.000 0.500 0.000
0.250 0.250 0.250
0.250 0.750 0.750
0.500 0.000 0.000
0.500 0.500 0.500
0.750 0.250 0.750
0.750 0.750 0.250
```

Summary:
- N(E_F): 4.28 states/eV/f.u.
- Volume: 315 Å³/cell
- Symmetry: F-43m (216)
- Energy above the most stable polymorph in this dataset: 717 meV per atom
- Energy relative to the elements: 1.34 eV per atom



[6]
DFT (PBE) results for a relaxed structure of YEr4Mg2.

Structure (POSCAR):
```
YEr4Mg2
1.0
2.707 1.563 7.983
-2.707 1.563 7.983
0.000 -3.126 7.983
Y Er Mg
1 4 2
direct
0.000 0.000 0.000
0.292 0.292 0.292
0.431 0.431 0.431
0.569 0.569 0.569
0.708 0.708 0.708
0.149 0.149 0.149
0.851 0.851 0.851
```

Summary:
- N(E_F): 10.05 states/eV/f.u.
- Volume: 203 Å³/cell
- Symmetry: R-3m (166)
- Energy relative to the elements: 0.07 eV per atom



[7]
DFT (PBE) results for a relaxed structure of CdP2.

Structure (POSCAR):
```
CdP2
1.0
3.391 0.000 0.000
0.000 3.391 0.000
0.000 0.000 5.048
Cd P
1 2
direct
0.000 0.000 0.000
0.000 0.500 0.500
0.500 0.000 0.500
```

Summary:
- N(E_F): 0.71 states/eV/f.u.
- Volume: 58 Å³/cell
- Symmetry: P4/mmm (123)
- Energy relative to the elements: 0.31 eV per atom



[8]
DFT (PBE) results for a relaxed structure of Rb2MgCd.

Structure (POSCAR):
```
Rb2MgCd
1.0
10.402 0.000 0.000
0.000 10.402 0.000
0.000 0.000 7.319
Rb Mg Cd
8 4 4
direct
0.231 0.250 0.125
0.250 0.731 0.375
0.250 0.769 0.875
0.269 0.250 0.625
0.731 0.750 0.625
0.750 0.231 0.875
0.750 0.269 0.375
0.769 0.750 0.125
0.000 0.000 0.500
0.000 0.500 0.750
0.500 0.000 0.250
0.500 0.500 0.000
0.000 0.000 0.000
0.000 0.500 0.250
0.500 0.000 0.750
0.500 0.500 0.500
```

Summary:
- N(E_F): 3.14 states/eV/f.u.
- Volume: 792 Å³/cell
- Symmetry: I-42d (122)
- Energy above the most stable polymorph in this dataset: 77 meV per atom
- Energy relative to the elements: 0.26 eV per atom



[9]
DFT (PBE) results for a relaxed structure of Rb2AcAlO4.

Structure (POSCAR):
```
Rb2AcAlO4
1.0
6.157 0.000 0.000
0.000 6.157 0.000
0.000 0.000 8.855
Rb Ac Al O
4 2 2 8
direct
0.000 0.000 0.000
0.000 0.500 0.250
0.500 0.000 0.750
0.500 0.500 0.500
0.000 0.000 0.500
0.500 0.500 0.000
0.000 0.500 0.750
0.500 0.000 0.250
0.138 0.295 0.640
0.205 0.638 0.860
0.295 0.862 0.360
0.362 0.205 0.140
0.638 0.795 0.140
0.705 0.138 0.360
0.795 0.362 0.860
0.862 0.705 0.640
```

Summary:
- N(E_F): 0.00 states/eV/f.u.
- Volume: 336 Å³/cell
- Symmetry: I-4 (82)
- Formation energy (no corrections): -2.43 eV per atom



[10]
DFT (PBE) results for a relaxed structure of Sm5Sb2Rh.

Structure (POSCAR):
```
Sm5Sb2Rh
1.0
2.940 -4.845 0.000
2.940 4.845 0.000
0.000 0.000 16.251
Sm Sb Rh
10 4 2
direct
0.073 0.927 0.599
0.073 0.927 0.901
0.250 0.750 0.250
0.409 0.591 0.624
0.409 0.591 0.876
0.591 0.409 0.124
0.591 0.409 0.376
0.750 0.250 0.750
0.927 0.073 0.099
0.927 0.073 0.401
0.267 0.733 0.060
0.267 0.733 0.440
0.733 0.267 0.560
0.733 0.267 0.940
0.195 0.805 0.750
0.805 0.195 0.250
```

Summary:
- N(E_F): 5.18 states/eV/f.u.
- Volume: 463 Å³/cell
- Symmetry: Cmcm (63)
- Formation energy (no corrections): -0.55 eV per atom



[11]
DFT (PBE) results for a relaxed structure of PrEr2UAs4.

Structure (POSCAR):
```
PrEr2UAs4
1.0
7.163 0.000 0.000
0.000 4.126 0.000
-2.359 0.000 6.771
Pr Er U As
1 2 1 4
direct
0.000 0.000 0.000
0.500 0.000 0.500
0.500 0.500 0.000
0.000 0.500 0.500
0.254 0.000 0.745
0.257 0.500 0.262
0.743 0.500 0.738
0.746 0.000 0.255
```

Summary:
- N(E_F): 7.97 states/eV/f.u.
- Volume: 200 Å³/cell
- Symmetry: P2/m (10)
- Energy relative to the elements: -1.30 eV per atom



[12]
DFT (PBE) results for a relaxed structure of RbScSi.

Structure (POSCAR):
```
RbScSi
1.0
6.670 0.000 0.000
-3.335 5.777 0.000
0.000 0.000 9.938
Rb Sc Si
2 2 2
direct
0.333 0.667 0.250
0.667 0.333 0.750
0.000 0.000 0.250
0.000 0.000 0.750
0.000 0.000 0.000
0.000 0.000 0.500
```

Summary:
- N(E_F): 2.99 states/eV/f.u.
- Volume: 383 Å³/cell
- Symmetry: P6_3/mmc (194)
- Energy above the most stable polymorph in this dataset: 1229 meV per atom
- Formation energy (no corrections): 0.98 eV per atom



Number 1: total magnetization 1.12 μB per formula unit. Number 2: total magnetization 0.00 μB per formula unit. Number 3: total magnetization 0.00 μB per formula unit. Number 4: total magnetization 0.00 μB per formula unit. Number 5: total magnetization 0.00 μB per formula unit. Number 6: total magnetization 0.00 μB per formula unit. Number 7: total magnetization 0.00 μB per formula unit. Number 8: total magnetization 0.00 μB per formula unit. Number 9: total magnetization 0.00 μB per formula unit. Number 10: total magnetization 0.00 μB per formula unit. Number 11: total magnetization 2.39 μB per formula unit. Number 12: total magnetization 0.00 μB per formula unit.